w.
Ti3MnCl | GGA-PBE | optimized geometry

Cell and atoms, written as POSCAR:
```
Ti3MnCl
1.0
4.3725 0.0000 0.0000
0.0000 4.3725 0.0000
0.0000 0.0000 4.3725
Ti Mn Cl
3 1 1
direct
0.0000 0.0000 0.5000 Ti
0.0000 0.5000 0.0000 Ti
0.5000 0.0000 0.0000 Ti
0.5000 0.5000 0.5000 Mn
0.0000 0.0000 0.0000 Cl
```

Values from the calculation:
space-group type = No. 221

=====

x.
Ti3MnCl | GGA-PBE | optimized geometry

Cell and atoms, written as POSCAR:
```
Ti3MnCl
1.0
4.5727 0.0000 0.0000
0.0000 4.5727 0.0000
0.0000 0.0000 4.5727
Ti Mn Cl
3 1 1
direct
0.0000 0.0000 0.5000 Ti
0.0000 0.5000 0.0000 Ti
0.5000 0.0000 0.0000 Ti
0.0000 0.0000 0.0000 Mn
0.5000 0.5000 0.5000 Cl
```

Values from the calculation:
space-group type = No. 221

=====

Result of the stability comparison: w is the most stable of them.

=====

w.
Ti2MnCl | GGA-PBE | optimized geometry

Cell and atoms, written as POSCAR:
```
Ti2MnCl
1.0
6.1644 0.0000 0.0000
0.0000 6.1644 0.0000
0.0000 0.0000 6.1644
Ti Mn Cl
8 4 4
direct
0.2500 0.2500 0.2500 Ti
0.2500 0.2500 0.7500 Ti
0.2500 0.7500 0.2500 Ti
0.2500 0.7500 0.7500 Ti
0.7500 0.2500 0.2500 Ti
0.7500 0.2500 0.7500 Ti
0.7500 0.7500 0.2500 Ti
0.7500 0.7500 0.7500 Ti
0.0000 0.0000 0.0000 Mn
0.0000 0.5000 0.5000 Mn
0.5000 0.0000 0.5000 Mn
0.5000 0.5000 0.0000 Mn
0.0000 0.0000 0.5000 Cl
0.0000 0.5000 0.0000 Cl
0.5000 0.0000 0.0000 Cl
0.5000 0.5000 0.5000 Cl
```

Values from the calculation:
space-group type = No. 225

=====

x.
Ti2MnCl | GGA-PBE | optimized geometry

Cell and atoms, written as POSCAR:
```
Ti2MnCl
1.0
5.3146 0.0000 0.0000
0.0000 5.3146 0.0000
0.0000 0.0000 11.3439
Ti Mn Cl
8 4 4
direct
0.1992 0.2500 0.1250 Ti
0.2500 0.6992 0.3750 Ti
0.2500 0.8008 0.8750 Ti
0.3008 0.2500 0.6250 Ti
0.6992 0.7500 0.6250 Ti
0.7500 0.1992 0.8750 Ti
0.7500 0.3008 0.3750 Ti
0.8008 0.7500 0.1250 Ti
0.0000 0.0000 0.0000 Mn
0.0000 0.5000 0.2500 Mn
0.5000 0.0000 0.7500 Mn
0.5000 0.5000 0.5000 Mn
0.0000 0.0000 0.5000 Cl
0.0000 0.5000 0.7500 Cl
0.5000 0.0000 0.2500 Cl
0.5000 0.5000 0.0000 Cl
```

Values from the calculation:
space-group type = No. 122

=====

Result of the stability comparison: w is the most stable of them.

=====

w.
Ti2Mn2Cl | GGA-PBE | optimized geometry

Cell and atoms, written as POSCAR:
```
Ti2Mn2Cl
1.0
7.0271 0.0000 0.0000
0.0000 7.0271 0.0000
0.0000 0.0000 3.1649
Ti Mn Cl
4 4 2
direct
0.1637 0.3363 0.0000 Ti
0.3363 0.8363 0.0000 Ti
0.6637 0.1637 0.0000 Ti
0.8363 0.6637 0.0000 Ti
0.1219 0.6219 0.5000 Mn
0.3781 0.1219 0.5000 Mn
0.6219 0.8781 0.5000 Mn
0.8781 0.3781 0.5000 Mn
0.0000 0.0000 0.5000 Cl
0.5000 0.5000 0.5000 Cl
```

Values from the calculation:
space-group type = No. 127

=====

x.
Ti2Mn2Cl | GGA-PBE | optimized geometry

Cell and atoms, written as POSCAR:
```
Ti2Mn2Cl
1.0
4.8159 0.0000 0.0000
0.0000 4.8159 0.0000
0.0000 0.0000 6.7768
Ti Mn Cl
4 4 2
direct
0.0000 0.5000 0.2500 Ti
0.0000 0.5000 0.7500 Ti
0.5000 0.0000 0.2500 Ti
0.5000 0.0000 0.7500 Ti
0.0000 0.0000 0.1580 Mn
0.0000 0.0000 0.8420 Mn
0.5000 0.5000 0.3420 Mn
0.5000 0.5000 0.6580 Mn
0.0000 0.0000 0.5000 Cl
0.5000 0.5000 0.0000 Cl
```

Values from the calculation:
space-group type = No. 139

=====

Result of the stability comparison: w is the most stable of them.

=====

w.
TiMn2Cl | GGA-PBE | optimized geometry

Cell and atoms, written as POSCAR:
```
TiMn2Cl
1.0
5.8898 0.0000 0.0000
0.0000 5.8898 0.0000
0.0000 0.0000 5.8898
Ti Mn Cl
4 8 4
direct
0.0000 0.0000 0.0000 Ti
0.0000 0.5000 0.5000 Ti
0.5000 0.0000 0.5000 Ti
0.5000 0.5000 0.0000 Ti
0.2500 0.2500 0.2500 Mn
0.2500 0.2500 0.7500 Mn
0.2500 0.7500 0.2500 Mn
0.2500 0.7500 0.7500 Mn
0.7500 0.2500 0.2500 Mn
0.7500 0.2500 0.7500 Mn
0.7500 0.7500 0.2500 Mn
0.7500 0.7500 0.7500 Mn
0.0000 0.0000 0.5000 Cl
0.0000 0.5000 0.0000 Cl
0.5000 0.0000 0.0000 Cl
0.5000 0.5000 0.5000 Cl
```

Values from the calculation:
space-group type = No. 225

=====

x.
TiMn2Cl | GGA-PBE | optimized geometry

Cell and atoms, written as POSCAR:
```
TiMn2Cl
1.0
7.2318 0.0000 0.0000
0.0000 7.2318 0.0000
0.0000 0.0000 4.9970
Ti Mn Cl
4 8 4
direct
0.0000 0.0000 0.0000 Ti
0.0000 0.5000 0.2500 Ti
0.5000 0.0000 0.7500 Ti
0.5000 0.5000 0.5000 Ti
0.2049 0.2500 0.6250 Mn
0.2500 0.7049 0.8750 Mn
0.2500 0.7951 0.3750 Mn
0.2951 0.2500 0.1250 Mn
0.7049 0.7500 0.1250 Mn
0.7500 0.2049 0.3750 Mn
0.7500 0.2951 0.8750 Mn
0.7951 0.7500 0.6250 Mn
0.0000 0.0000 0.5000 Cl
0.0000 0.5000 0.7500 Cl
0.5000 0.0000 0.2500 Cl
0.5000 0.5000 0.0000 Cl
```

Values from the calculation:
space-group type = No. 122

=====

Result of the stability comparison: x is the most stable of them.

=====

w.
TiMn3Cl | GGA-PBE | optimized geometry

Cell and atoms, written as POSCAR:
```
TiMn3Cl
1.0
4.0611 0.0000 0.0000
0.0000 4.0611 0.0000
0.0000 0.0000 4.0611
Ti Mn Cl
1 3 1
direct
0.0000 0.0000 0.0000 Ti
0.0000 0.5000 0.5000 Mn
0.5000 0.0000 0.5000 Mn
0.5000 0.5000 0.0000 Mn
0.5000 0.5000 0.5000 Cl
```

Values from the calculation:
space-group type = No. 221

=====

x.
TiMn3Cl | GGA-PBE | optimized geometry

Cell and atoms, written as POSCAR:
```
TiMn3Cl
1.0
4.7234 0.0000 0.0000
0.0000 4.7234 0.0000
0.0000 0.0000 4.7234
Ti Mn Cl
1 3 1
direct
0.0000 0.0000 0.0000 Ti
0.0000 0.0000 0.5000 Mn
0.0000 0.5000 0.0000 Mn
0.5000 0.0000 0.0000 Mn
0.5000 0.5000 0.5000 Cl
```

Values from the calculation:
space-group type = No. 221

=====

Result of the stability comparison: w is the most stable of them.

=====

w.
MnTlCl3 | GGA-PBE | optimized geometry

Cell and atoms, written as POSCAR:
```
MnTlCl3
1.0
5.4796 0.0000 0.0000
0.0000 5.4796 0.0000
0.0000 0.0000 5.4796
Mn Tl Cl
1 1 3
direct
0.0000 0.0000 0.0000 Mn
0.5000 0.5000 0.5000 Tl
0.0000 0.5000 0.5000 Cl
0.5000 0.0000 0.5000 Cl
0.5000 0.5000 0.0000 Cl
```

Values from the calculation:
space-group type = No. 221

=====

x.
MnTlCl3 | GGA-PBE | optimized geometry

Cell and atoms, written as POSCAR:
```
MnTlCl3
1.0
5.0599 0.0000 0.0000
0.0000 5.0599 0.0000
0.0000 0.0000 5.0599
Mn Tl Cl
1 1 3
direct
0.0000 0.0000 0.0000 Mn
0.5000 0.5000 0.5000 Tl
0.0000 0.0000 0.5000 Cl
0.0000 0.5000 0.0000 Cl
0.5000 0.0000 0.0000 Cl
```

Values from the calculation:
space-group type = No. 221

=====

y.
MnTlCl3 | GGA-PBE | optimized geometry

Cell and atoms, written as POSCAR:
```
MnTlCl3
1.0
7.1402 0.0000 0.0000
0.0000 10.1452 0.0000
0.0000 0.0000 7.1057
Mn Tl Cl
4 4 12
direct
0.0000 0.0000 0.0000 Mn
0.0000 0.5000 0.0000 Mn
0.5000 0.0000 0.5000 Mn
0.5000 0.5000 0.5000 Mn
0.0339 0.2500 0.4943 Tl
0.4661 0.7500 0.9943 Tl
0.5339 0.2500 0.0057 Tl
0.9661 0.7500 0.5057 Tl
0.0029 0.7500 0.0449 Cl
0.2172 0.5226 0.7171 Cl
0.2172 0.9774 0.7171 Cl
0.2828 0.0226 0.2171 Cl
0.2828 0.4774 0.2171 Cl
0.4971 0.2500 0.5449 Cl
0.5029 0.7500 0.4551 Cl
0.7172 0.5226 0.7829 Cl
0.7172 0.9774 0.7829 Cl
0.7828 0.0226 0.2829 Cl
0.7828 0.4774 0.2829 Cl
0.9971 0.2500 0.9551 Cl
```

Values from the calculation:
space-group type = No. 62

=====

z.
MnTlCl3 | GGA-PBE | optimized geometry

Cell and atoms, written as POSCAR:
```
MnTlCl3
1.0
9.0469 0.0000 0.0000
0.0000 7.7945 0.0000
-5.5676 0.0000 8.3663
Mn Tl Cl
4 4 12
direct
0.1946 0.2500 0.3469 Mn
0.1946 0.2500 0.8469 Mn
0.8054 0.7500 0.1531 Mn
0.8054 0.7500 0.6531 Mn
0.2493 0.7304 0.1256 Tl
0.2493 0.7696 0.6256 Tl
0.7507 0.2304 0.3744 Tl
0.7507 0.2696 0.8744 Tl
0.0013 0.5008 0.2982 Cl
0.0013 0.9992 0.7982 Cl
0.1866 0.1757 0.5930 Cl
0.1866 0.3243 0.0930 Cl
0.4959 0.7505 0.4988 Cl
0.4959 0.7495 0.9988 Cl
0.5041 0.2505 0.0012 Cl
0.5041 0.2495 0.5012 Cl
0.8134 0.6757 0.9070 Cl
0.8134 0.8243 0.4070 Cl
0.9987 0.0008 0.2018 Cl
0.9987 0.4992 0.7018 Cl
```

Values from the calculation:
space-group type = No. 14

=====

Result of the stability comparison: y is the most stable of them.